Rb2CaGe2O6: optimized geometry, PBE-GGA.

```
data_Rb2CaGe2O6
_chemical_formula_sum 'Rb2 Ca1 Ge2 O6'
_cell_length_a 6.146
_cell_length_b 6.127
_cell_length_c 7.183
_cell_angle_alpha 113.60
_cell_angle_beta 90.00
_cell_angle_gamma 120.10
_space_group_name_H-M_alt 'P 1'
_space_group_IT_number 1
_space_group_name_Hall 'P 1'
loop_
_atom_site_label
_atom_site_fract_x
_atom_site_fract_y
_atom_site_fract_z
Rb1 0.703 0.406 0.113
Rb2 0.297 0.594 0.887
Ca1 0.500 0.000 0.500
Ge1 0.912 0.823 0.725
Ge2 0.088 0.177 0.275
O1 0.749 0.497 0.719
O2 0.242 0.005 0.259
O3 0.238 0.995 0.741
O4 0.758 0.995 0.741
O5 0.762 0.005 0.259
O6 0.251 0.503 0.281
```

Output
DFT total energy   -5.76 eV/atom